No. 1
The following is a DFT calculation (PBE) of crystalline ZnPd9Pt2 at its relaxed geometry.

Output
ΔE_f: -1.49 eV/f.u.
crystal system: tetragonal
spin magnetization: 0.00 μB per formula unit
Fermi-level density of states: 21.9 states/eV/cell

Cell: 3.928 3.928 11.864 Å, 90.00 90.00 90.00°
Space group P4/mmm (No. 123)
Asymmetric unit:
1 Zn 0.000 0.000 0.000 [1 per cell]
2 Pd 0.000 0.500 0.163 [4 per cell]
3 Pd 0.000 0.500 0.500 [2 per cell]
4 Pd 0.500 0.500 0.000 [1 per cell]
5 Pd 0.500 0.500 0.331 [2 per cell]
6 Pt 0.000 0.000 0.334 [2 per cell]

=====

No. 2
The following is a DFT calculation (PBE) of crystalline ZnPdPt at its relaxed geometry.

Output
ΔE_f: -1.07 eV/f.u.
crystal system: monoclinic
energy relative to the lowest polymorph listed for this composition: 71 meV/atom
spin magnetization: 0.00 μB per formula unit
Fermi-level density of states: 9.3 states/eV/cell

Cell: 4.820 8.263 4.821 Å, 90.00 109.86 90.00°
Space group C2 (No. 5)
Asymmetric unit:
1 Zn 0.000 0.000 0.000 [2 per cell]
2 Zn 0.000 0.182 0.500 [2 per cell]
3 Pd 0.000 0.333 0.000 [2 per cell]
4 Pd 0.000 0.672 0.000 [2 per cell]
5 Pt 0.000 0.511 0.500 [2 per cell]
6 Pt 0.000 0.851 0.500 [2 per cell]

=====

No. 3
The following is a DFT calculation (PBE) of crystalline ZnPd12Pt7 at its relaxed geometry.

Output
ΔE_f: 1.81 eV/f.u.
crystal system: trigonal
spin magnetization: 0.00 μB per formula unit
Fermi-level density of states: 100.5 states/eV/cell

Cell: 9.5432 9.5432 12.2555 Å, 90.00 90.00 120.00°
Space group R-3 (No. 148, hexagonal axes)
Asymmetric unit:
1 Zn 0.0000 0.0000 0.0000 [3 per cell]
2 Pd 0.0305 0.5737 0.7051 [18 per cell]
3 Pd 0.0539 0.4668 0.0895 [18 per cell]
4 Pt 0.0000 0.0000 0.5000 [3 per cell]
5 Pt 0.0505 0.8659 0.8073 [18 per cell]

=====

No. 4
The following is a DFT calculation (PBE) of crystalline Zn4PdPt3 at its relaxed geometry.

Output
ΔE_f: -4.38 eV/f.u.
crystal system: orthorhombic
spin magnetization: 0.00 μB per formula unit
Fermi-level density of states: 6.1 states/eV/cell

Cell: 8.952 5.784 4.508 Å, 90.00 90.00 90.00°
Space group Pmma (No. 51)
Asymmetric unit:
1 Zn 0.000 0.249 0.000 [4 per cell]
2 Zn 0.250 0.250 0.434 [4 per cell]
3 Pd 0.000 0.500 0.500 [2 per cell]
4 Pt 0.000 0.000 0.500 [2 per cell]
5 Pt 0.250 0.000 0.929 [2 per cell]
6 Pt 0.250 0.500 0.936 [2 per cell]

=====

No. 5
The following is a DFT calculation (PBE) of crystalline Zn3PdPt7 at its relaxed geometry.

Output
ΔE_f: -2.77 eV/f.u.
crystal system: trigonal
spin magnetization: 0.00 μB per formula unit
Fermi-level density of states: 6.8 states/eV/cell

Cell: 5.5182 5.5182 6.6457 Å, 90.00 90.00 120.00°
Space group P3m1 (No. 156)
Asymmetric unit:
1 Zn 0.1671 0.3342 0.0000 [3 per cell]
2 Pd 0.0000 0.0000 0.6860 [1 per cell]
3 Pt 0.3333 0.6667 0.3170 [1 per cell]
4 Pt 0.3359 0.1679 0.3149 [3 per cell]
5 Pt 0.5016 0.0031 0.6874 [3 per cell]

=====

No. 6
The following is a DFT calculation (PBE) of crystalline Zn3Pd8Pt2 at its relaxed geometry.

Output
ΔE_f: -2.91 eV/f.u.
crystal system: triclinic
energy relative to the lowest polymorph listed for this composition: 0 meV/atom
spin magnetization: 0.00 μB per formula unit
Fermi-level density of states: 13.8 states/eV/cell

Cell: 4.682 6.236 7.286 Å, 83.64 80.01 79.16°
Space group P-1 (No. 2)
Asymmetric unit:
1 Zn 0.000 0.000 0.000 [1 per cell]
2 Zn 0.372 0.289 0.784 [2 per cell]
3 Pd 0.062 0.862 0.358 [2 per cell]
4 Pd 0.206 0.582 0.075 [2 per cell]
5 Pd 0.292 0.417 0.434 [2 per cell]
6 Pd 0.440 0.131 0.149 [2 per cell]
7 Pt 0.139 0.710 0.715 [2 per cell]

=====

No. 7
The following is a DFT calculation (PBE) of crystalline Zn2PdPt at its relaxed geometry.

Output
ΔE_f: -2.27 eV/f.u.
crystal system: tetragonal
energy relative to the lowest polymorph listed for this composition: 2 meV/atom
spin magnetization: 0.00 μB per formula unit
Fermi-level density of states: 0.8 states/eV/cell

Cell: 2.901 2.901 6.894 Å, 90.00 90.00 90.00°
Space group P4/mmm (No. 123)
Asymmetric unit:
1 Zn 0.000 0.000 0.249 [2 per cell]
2 Pd 0.500 0.500 0.000 [1 per cell]
3 Pt 0.500 0.500 0.500 [1 per cell]

=====

No. 8
The following is a DFT calculation (PBE) of crystalline Zn2PdPt6 at its relaxed geometry.

Output
ΔE_f: -1.82 eV/f.u.
crystal system: monoclinic
energy relative to the lowest polymorph listed for this composition: 58 meV/atom
spin magnetization: 0.00 μB per formula unit
Fermi-level density of states: 13.5 states/eV/cell

Cell: 13.147 2.747 9.316 Å, 90.00 123.27 90.00°
Space group C2/m (No. 12)
Asymmetric unit:
1 Zn 0.160 0.000 0.296 [4 per cell]
2 Pd 0.000 0.500 0.000 [2 per cell]
3 Pt 0.044 0.500 0.748 [4 per cell]
4 Pt 0.125 0.000 0.544 [4 per cell]
5 Pt 0.233 0.500 0.113 [4 per cell]